Entry 1:
The following is a DFT calculation (GGA-PBE) of a geometry-optimized Zn2CrP2 structure.

```
10
Lattice="6.658 0.000 0.000 0.000 6.658 0.000 0.000 0.000 3.251" Properties=species:S:1:pos:R:3 pbc="T T T"
Zn 0.859 2.470 0.000
Zn 2.470 5.799 0.000
Zn 4.188 0.859 0.000
Zn 5.799 4.188 0.000
Cr 0.000 0.000 0.000
Cr 3.329 3.329 0.000
P 1.207 4.536 1.625
P 2.122 1.207 1.625
P 4.536 5.451 1.625
P 5.451 2.122 1.625
```

* N(E_F): 13.064 states/eV per cell
* magnetization: 0.0 Bohr magnetons per cell
* ΔH_f (0 K): 535 meV per atom


Entry 2:
The following is a DFT calculation (GGA-PBE) of a geometry-optimized Zn2CrP structure.

```
4
Lattice="3.043 0.000 0.000 0.000 3.043 0.000 0.000 0.000 5.841" Properties=species:S:1:pos:R:3 pbc="T T T"
Zn 0.000 0.000 0.000
Zn 1.522 1.522 1.534
Cr 0.000 0.000 3.186
P 1.522 1.522 4.156
```

* N(E_F): 1.300 states/eV per cell
* magnetization: 0.8 Bohr magnetons per cell
* ΔH_f (0 K): -40 meV per atom


Entry 3:
The following is a DFT calculation (GGA-PBE) of a geometry-optimized Zn2CrP2 structure.

```
10
Lattice="5.957 0.000 0.000 0.000 5.957 0.000 0.000 0.000 3.991" Properties=species:S:1:pos:R:3 pbc="T T T"
Zn 1.148 1.830 0.000
Zn 1.830 4.809 0.000
Zn 4.127 1.148 0.000
Zn 4.809 4.127 0.000
Cr 0.000 0.000 1.995
Cr 2.979 2.979 1.995
P 0.802 3.781 1.995
P 2.177 0.802 1.995
P 3.781 5.155 1.995
P 5.155 2.177 1.995
```

* N(E_F): 2.579 states/eV per cell
* magnetization: 0.0 Bohr magnetons per cell
* ΔH_f (0 K): 27 meV per atom


Entry 4:
The following is a DFT calculation (GGA-PBE) of a geometry-optimized Zn2CrP structure.

```
4
Lattice="2.644 0.000 0.000 0.000 3.665 0.000 -1.305 0.000 5.901" Properties=species:S:1:pos:R:3 pbc="T T T"
Zn 0.000 0.000 0.000
Zn 0.014 1.832 4.475
Cr 1.333 1.832 2.049
P 0.012 0.000 2.424
```

* N(E_F): 2.195 states/eV per cell
* magnetization: 0.0 Bohr magnetons per cell
* ΔH_f (0 K): 47 meV per atom


Entry 5:
The following is a DFT calculation (GGA-PBE) of a geometry-optimized Zn2CrP structure.

```
4
Lattice="0.000 3.105 3.105 3.105 0.000 3.105 3.105 3.105 0.000" Properties=species:S:1:pos:R:3 pbc="T T T"
Zn 0.000 0.000 0.000
Zn 1.553 1.553 1.553
Cr 4.658 4.658 4.658
P 3.105 3.105 3.105
```

* N(E_F): 2.465 states/eV per cell
* magnetization: 3.6 Bohr magnetons per cell
* ΔH_f (0 K): 289 meV per atom


Entry 6:
The following is a DFT calculation (GGA-PBE) of a geometry-optimized ZnCr2P structure.

```
4
Lattice="2.732 0.000 0.000 0.000 3.477 0.000 -0.988 0.000 5.354" Properties=species:S:1:pos:R:3 pbc="T T T"
Zn 0.000 0.000 0.000
Cr 0.322 1.739 3.886
Cr 1.422 1.739 1.468
P -0.494 0.000 2.677
```

* N(E_F): 3.157 states/eV per cell
* magnetization: 2.8 Bohr magnetons per cell
* ΔH_f (0 K): 46 meV per atom


Entry 7:
The following is a DFT calculation (GGA-PBE) of a geometry-optimized ZnCr2P structure.

```
4
Lattice="2.605 -3.816 0.000 2.605 3.816 0.000 -0.810 0.000 2.459" Properties=species:S:1:pos:R:3 pbc="T T T"
Zn 0.000 0.000 0.000
Cr 0.897 1.908 1.229
Cr 0.897 -1.908 1.229
P 2.605 0.000 0.000
```

* N(E_F): 3.815 states/eV per cell
* magnetization: 0.0 Bohr magnetons per cell
* ΔH_f (0 K): 217 meV per atom


Entry 8:
The following is a DFT calculation (GGA-PBE) of a geometry-optimized ZnCr2P structure.

```
4
Lattice="0.000 2.947 2.947 2.947 0.000 2.947 2.947 2.947 0.000" Properties=species:S:1:pos:R:3 pbc="T T T"
Zn 0.000 0.000 0.000
Cr 1.474 1.474 1.474
Cr 2.947 2.947 2.947
P 4.421 4.421 4.421
```

* N(E_F): 2.137 states/eV per cell
* magnetization: 0.8 Bohr magnetons per cell
* ΔH_f (0 K): 234 meV per atom


Entry 9:
The following is a DFT calculation (GGA-PBE) of a geometry-optimized Zn2CrP structure.

```
8
Lattice="-3.710 3.710 2.371 3.710 -3.710 2.371 3.710 3.710 -2.371" Properties=species:S:1:pos:R:3 pbc="T T T"
Zn 5.565 1.491 -0.593
Zn 1.491 1.855 0.593
Zn -1.855 2.219 1.778
Zn 2.219 1.855 2.964
Cr 3.710 0.000 1.186
Cr 0.000 0.000 2.371
P 0.000 0.000 0.000
P 0.000 3.710 1.186
```

* N(E_F): 2.135 states/eV per cell
* magnetization: 6.1 Bohr magnetons per cell
* ΔH_f (0 K): 195 meV per atom


Entry 10:
The following is a DFT calculation (GGA-PBE) of a geometry-optimized ZrZnCr2P structure.

```
5
Lattice="4.360 0.000 0.000 0.000 4.360 0.000 0.000 0.000 4.862" Properties=species:S:1:pos:R:3 pbc="T T T"
Zr 0.000 0.000 0.000
Zn 2.180 2.180 0.000
Cr 0.000 2.180 2.431
Cr 2.180 0.000 2.431
P 0.000 0.000 2.431
```

* N(E_F): 3.862 states/eV per cell
* magnetization: 4.9 Bohr magnetons per cell
* ΔH_f (0 K): 203 meV per atom


Entry 11:
The following is a DFT calculation (GGA-PBE) of a geometry-optimized ZrCr2P structure.

```
4
Lattice="1.642 -2.367 0.000 1.642 2.367 0.000 0.000 0.000 7.521" Properties=species:S:1:pos:R:3 pbc="T T T"
Zr 0.000 0.000 0.000
Cr 1.642 0.000 2.230
Cr 1.642 0.000 5.290
P 0.000 0.000 3.760
```

* N(E_F): 4.122 states/eV per cell
* magnetization: 0.0 Bohr magnetons per cell
* ΔH_f (0 K): 75 meV per atom


Entry 12:
The following is a DFT calculation (GGA-PBE) of a geometry-optimized ZrCr3P structure.

```
5
Lattice="4.539 0.000 0.000 0.000 4.539 0.000 0.000 0.000 4.539" Properties=species:S:1:pos:R:3 pbc="T T T"
Zr 0.000 0.000 0.000
Cr 0.000 0.000 2.270
Cr 0.000 2.270 0.000
Cr 2.270 0.000 0.000
P 2.270 2.270 2.270
```

* N(E_F): 12.143 states/eV per cell
* magnetization: 0.0 Bohr magnetons per cell
* ΔH_f (0 K): 2245 meV per atom